Record 1
The following is a DFT calculation (PBE) of an optimized crystal structure of NaBi2HPb.

abc: 5.0375 5.0375 4.9209
angles: 90.00 90.00 90.00
Fractional coordinates of all 5 atoms:
Pb (0.5000, 0.5000, 0.5000)
Na (0.0000, 0.0000, 0.5000)
Bi (0.0000, 0.5000, 0.0000)
Bi (0.5000, 0.0000, 0.0000)
H (0.0000, 0.0000, 0.0000)

Properties
N(E_F) ... 0.304 states/eV/atom


Record 2
The following is a DFT calculation (PBE) of an optimized crystal structure of Se2NF.

abc: 4.2207 4.2207 4.2207
angles: 60.00 60.00 60.00
Fractional coordinates of all 4 atoms:
N (0.0000, 0.0000, 0.0000)
Se (0.2500, 0.2500, 0.2500)
Se (0.7500, 0.7500, 0.7500)
F (0.5000, 0.5000, 0.5000)

Properties
N(E_F) ... 0.567 states/eV/atom
Offset from the most stable computed form ... 812.4 meV per atom
ΔE_f (raw) ... 0.989 eV per atom


Record 3
The following is a DFT calculation (PBE) of an optimized crystal structure of Sc4AlCu.

abc: 3.3118 5.8623 7.0606
angles: 95.59 103.53 106.42
Fractional coordinates of all 6 atoms:
Sc (0.6537, 0.2599, 0.7960)
Sc (0.5105, 0.6544, 0.1168)
Sc (0.9933, 0.3281, 0.4080)
Sc (0.8485, 0.7625, 0.6865)
Al (0.2064, 0.0815, 0.0802)
Cu (0.2877, 0.9137, 0.4125)

Properties
N(E_F) ... 1.393 states/eV/atom
ΔE_f ... -202 meV per atom
Offset from the most stable computed form ... 0.0 meV per atom


Record 4
The following is a DFT calculation (PBE) of an optimized crystal structure of BaTaPb2.

abc: 4.8104 5.0074 5.0074
angles: 90.00 90.00 90.00
Each line ends with the local moment (μB).
Fractional coordinates of all 4 atoms:
Pb (0.0000, 0.0000, 0.0000)  -0.02
Pb (0.0000, 0.5000, 0.5000)  -0.02
Ba (0.5000, 0.0000, 0.5000)  0.09
Ta (0.5000, 0.5000, 0.0000)  1.58

Properties
N(E_F) ... 1.072 states/eV/atom
ΔE_f ... 622 meV per atom


Record 5
The following is a DFT calculation (PBE) of an optimized crystal structure of BiPdPb.

abc: 4.8062 6.8630 9.6688
angles: 90.00 90.00 90.00
Fractional coordinates of all 12 atoms:
Bi (0.7500, 0.9895, 0.1287)
Bi (0.2500, 0.4895, 0.3713)
Bi (0.2500, 0.0105, 0.8713)
Bi (0.7500, 0.5105, 0.6287)
Pd (0.7500, 0.7375, 0.3760)
Pd (0.2500, 0.2375, 0.1240)
Pd (0.2500, 0.2625, 0.6240)
Pd (0.7500, 0.7625, 0.8760)
Pb (0.7500, 0.4904, 0.1227)
Pb (0.2500, 0.9904, 0.3773)
Pb (0.2500, 0.5096, 0.8773)
Pb (0.7500, 0.0096, 0.6227)

Properties
N(E_F) ... 0.367 states/eV/atom
ΔE_f ... -213 meV per atom
Offset from the most stable computed form ... 3.1 meV per atom


Record 6
The following is a DFT calculation (PBE) of an optimized crystal structure of SrFeAg2.

abc: 5.4834 5.4834 5.4834
angles: 132.99 132.99 68.67
Each line ends with the local moment (μB).
Fractional coordinates of all 4 atoms:
Ag (0.0000, 0.0000, 0.0000)  -0.01
Ag (0.2500, 0.7500, 0.5000)  -0.01
Fe (0.5000, 0.5000, 0.0000)  2.91
Sr (0.7500, 0.2500, 0.5000)  -0.02

Properties
N(E_F) ... 1.063 states/eV/atom
ΔE_f ... 400 meV per atom
Offset from the most stable computed form ... 219.4 meV per atom


Record 7
The following is a DFT calculation (PBE) of an optimized crystal structure of TbNdSm2Tm4.

abc: 9.4816 9.4816 11.7593
angles: 128.32 128.32 88.55
Each line ends with the local moment (μB).
Fractional coordinates of all 16 atoms:
Tb (0.5000, 0.5000, 0.5000)  0.28
Tb (0.0000, 0.0000, 0.0000)  0.28
Nd (0.0000, 0.5000, 0.0000)  0.22
Nd (0.0000, 0.5000, 0.5000)  0.22
Sm (0.5000, 0.0000, 0.0000)  0.20
Sm (0.5000, 0.0000, 0.5000)  0.20
Sm (0.0000, 0.0000, 0.5000)  0.23
Sm (0.5000, 0.5000, 0.0000)  0.23
Tm (0.2489, 0.7518, 0.0003)  0.26
Tm (0.7482, 0.2511, 0.4997)  0.26
Tm (0.2518, 0.7489, 0.5003)  0.26
Tm (0.7511, 0.2482, 0.9997)  0.26
Tm (0.7501, 0.7503, 0.9986)  0.27
Tm (0.7497, 0.7499, 0.5014)  0.27
Tm (0.2503, 0.2501, 0.4986)  0.27
Tm (0.2499, 0.2497, 0.0014)  0.27

Properties
N(E_F) ... 2.194 states/eV/atom
ΔE_f ... 429 meV per atom


Record 8
The following is a DFT calculation (PBE) of an optimized crystal structure of TbEr2CdAu4.

abc: 4.9928 4.9928 8.7231
angles: 73.37 73.37 60.00
Fractional coordinates of all 8 atoms:
Tb (0.0000, 0.0000, 0.0000)
Er (0.7569, 0.7569, 0.7294)
Er (0.2431, 0.2431, 0.2706)
Cd (0.5000, 0.5000, 0.5000)
Au (0.3681, 0.3681, 0.8956)
Au (0.8791, 0.8791, 0.3627)
Au (0.1209, 0.1209, 0.6373)
Au (0.6319, 0.6319, 0.1044)

Properties
N(E_F) ... 0.605 states/eV/atom
ΔE_f ... -774 meV per atom


Record 9
The following is a DFT calculation (PBE) of an optimized crystal structure of CoICl.

abc: 3.6790 3.6790 6.4510
angles: 90.00 90.00 120.00
Each line ends with the local moment (μB).
Fractional coordinates of all 3 atoms:
I (0.0000, 0.0000, 0.1188)  -0.01
Co (0.6667, 0.3333, 0.3451)  0.86
Cl (0.3333, 0.6667, 0.5361)  0.03

Properties
N(E_F) ... 0.974 states/eV/atom
Offset from the most stable computed form ... 128.1 meV per atom
ΔE_f (raw) ... -0.159 eV per atom


Record 10
The following is a DFT calculation (PBE) of an optimized crystal structure of Hf2VTe4.

abc: 3.9406 6.9629 7.7346
angles: 117.45 104.76 90.00
Each line ends with the local moment (μB).
Fractional coordinates of all 7 atoms:
Hf (0.7499, 0.7835, 0.4997)  -0.06
Hf (0.2501, 0.2165, 0.5003)  -0.06
V (0.0000, 0.0000, 0.0000)  2.10
Te (0.8945, 0.2353, 0.7889)  -0.02
Te (0.1055, 0.7647, 0.2111)  -0.02
Te (0.6245, 0.2926, 0.2491)  -0.03
Te (0.3755, 0.7074, 0.7509)  -0.03

Properties
N(E_F) ... 0.482 states/eV/atom
ΔE_f (raw) ... -0.627 eV per atom


Record 11
The following is a DFT calculation (PBE) of an optimized crystal structure of BaAsSe2.

abc: 5.7906 5.7906 6.1814
angles: 57.73 57.73 41.28
Fractional coordinates of all 4 atoms:
As (0.7500, 0.7500, 0.7500)
Ba (0.2500, 0.2500, 0.2500)
Se (0.0539, 0.0539, 0.9461)
Se (0.4461, 0.4461, 0.5539)

Properties
N(E_F) ... 0.426 states/eV/atom
ΔE_f (raw) ... -0.853 eV per atom


Record 12
The following is a DFT calculation (PBE) of an optimized crystal structure of LiSiMo.

abc: 4.0776 4.0776 4.0776
angles: 60.00 60.00 60.00
Each line ends with the local moment (μB).
Fractional coordinates of all 3 atoms:
Li (0.0000, 0.0000, 0.0000)  -0.01
Mo (0.5000, 0.5000, 0.5000)  1.00
Si (0.2500, 0.2500, 0.2500)  -0.04

Properties
N(E_F) ... 0.262 states/eV/atom
Offset from the most stable computed form ... 401.8 meV per atom
ΔE_f (raw) ... 0.222 eV per atom


no.,raw total energy (Ry per atom),magnetic moment (μB/cell)
1,-0.23230,0.00
2,-0.24270,0.00
3,-0.42110,0.00
4,-0.34370,2.48
5,-0.32884,0.00
6,-0.26181,2.84
7,-0.30588,5.65
8,-0.31214,0.00
9,-0.26898,0.94
10,-0.48279,2.15
11,-0.31148,0.00
12,-0.42880,1.02